Version a
Crystalline SrYCd3 at its relaxed geometry. Source: Alexandria, functional GGA-PBE.

The space group is Cmcm (No. 63) and the conventional cell measures 3.7852, 29.9822 and 5.0157 Å, with angles of 90.00, 90.00 and 90.00 degrees. Symmetry generates all atoms from Sr at (0.0000, 0.0768, 0.2500), Y at (0.0000, 0.2132, 0.7500), Cd at (0.0000, 0.3191, 0.7500), Cd at (0.0000, 0.3746, 0.2500) and Cd at (0.0000, 0.4743, 0.2500).



Version b
Crystalline SrYCd3 at its relaxed geometry. Source: Alexandria, functional GGA-PBE.

The space group is Pm-3m (No. 221) and the conventional cell measures 5.7746, 5.7746 and 5.7746 Å, with angles of 90.00, 90.00 and 90.00 degrees. Symmetry generates all atoms from Sr at (0.0000, 0.0000, 0.0000), Y at (0.5000, 0.5000, 0.5000) and Cd at (0.0000, 0.5000, 0.5000).



The data favor version a; the next most stable structure lies 566 meV per atom above it.